1.
Th7Sn2Pb2 | PBE | optimized geometry

Lattice parameters (Å, degrees): 7.356 7.209 7.356 90.00 103.22 90.00
Positions (direct):
Th1 0.000 0.284 0.500
Th2 0.500 0.716 0.000
Th3 0.000 0.716 0.500
Th4 0.500 0.284 0.000
Th5 0.000 0.000 0.000
Th6 0.500 0.742 0.500
Th7 0.500 0.258 0.500
Sn1 0.726 0.000 0.274
Sn2 0.274 0.000 0.726
Pb1 0.826 0.500 0.826
Pb2 0.174 0.500 0.174

Calculated values
The formation energy comes out at 94 meV/atom. Its space-group type is No. 65. As for the raw total energy: -6.030 eV per atom.

2.
NdThAlCd | PBE | optimized geometry

Lattice parameters (Å, degrees): 5.363 5.363 5.363 60.00 60.00 60.00
Positions (direct):
Nd1 0.000 0.000 0.000
Al1 0.250 0.250 0.250
Th1 0.500 0.500 0.500
Cd1 0.750 0.750 0.750

Calculated values
The formation energy comes out at -222 meV/atom. Its space-group type is No. 216. As for the raw total energy: -4.434 eV per atom.

3.
InCuIr2F | PBE | optimized geometry

Lattice parameters (Å, degrees): 4.549 4.870 4.549 90.00 90.00 90.00
Last column: magnetic moment on the atom in μB.
Positions (direct):
F1 0.500 0.500 0.500  0.10
Ir1 0.000 0.000 0.500  0.90
Ir2 0.500 0.000 0.000  0.79
Cu1 0.000 0.000 0.000  0.07
In1 0.000 0.500 0.000  0.01

Calculated values
Its space-group type is No. 123. As for the raw total energy: -4.172 eV per atom. The formation energy without anion corrections comes out at 1.11 eV per atom.

4.
Sr4Tl3 | PBE | optimized geometry

Lattice parameters (Å, degrees): 5.768 5.768 9.988 73.22 73.22 60.00
Positions (direct):
Sr1 0.624 0.624 0.128
Sr2 0.875 0.875 0.375
Sr3 0.125 0.125 0.625
Sr4 0.376 0.376 0.872
Tl1 0.251 0.251 0.248
Tl2 0.749 0.749 0.752
Tl3 0.000 0.000 0.000

Calculated values
The formation energy comes out at -340 meV/atom. The relative energy among the computed polymorphs is 9.7 meV/atom. Its space-group type is No. 166. As for the raw total energy: -2.315 eV per atom.

5.
ErScCdAu | PBE | optimized geometry

Lattice parameters (Å, degrees): 3.569 3.569 7.042 90.00 90.00 90.00
Positions (direct):
Er1 0.500 0.500 0.121
Sc1 0.500 0.500 0.594
Cd1 0.000 0.000 0.838
Au1 0.000 0.000 0.375

Calculated values
The formation energy comes out at -571 meV/atom. The relative energy among the computed polymorphs is 0.0 meV/atom. Its space-group type is No. 99. As for the raw total energy: -4.342 eV per atom.

6.
Nd6Y2HoTm | PBE | optimized geometry

Lattice parameters (Å, degrees): 9.574 8.984 8.984 117.39 93.38 93.38
Positions (direct):
Nd1 0.056 0.118 0.765
Nd2 0.444 0.235 0.882
Nd3 0.944 0.882 0.235
Nd4 0.556 0.765 0.118
Nd5 0.310 0.993 0.436
Nd6 0.190 0.564 0.007
Nd7 0.690 0.007 0.564
Nd8 0.810 0.436 0.993
Nd9 0.116 0.708 0.485
Nd10 0.384 0.515 0.292
Nd11 0.884 0.292 0.515
Nd12 0.616 0.485 0.708
Y1 0.453 0.797 0.702
Y2 0.047 0.298 0.203
Y3 0.547 0.203 0.298
Y4 0.953 0.702 0.797
Ho1 0.250 0.970 0.030
Ho2 0.750 0.030 0.970
Tm1 0.250 0.412 0.588
Tm2 0.750 0.588 0.412

Calculated values
The formation energy comes out at 118 meV/atom. Its space-group type is No. 15. As for the raw total energy: -4.940 eV per atom.

7.
Cu5As | PBE | optimized geometry

Lattice parameters (Å, degrees): 5.913 5.913 3.653 90.00 90.00 143.23
Positions (direct):
As1 0.972 0.028 0.000
Cu1 0.801 0.199 0.500
Cu2 0.641 0.359 0.000
Cu3 0.472 0.528 0.500
Cu4 0.304 0.696 0.000
Cu5 0.143 0.857 0.500

Calculated values
The formation energy comes out at 19 meV/atom. Its space-group type is No. 65. As for the raw total energy: -4.170 eV per atom.

8.
BaMg2IrPb | PBE | optimized geometry

Lattice parameters (Å, degrees): 5.167 5.167 5.287 90.00 90.00 90.00
Positions (direct):
Pb1 0.000 0.000 0.500
Mg1 0.000 0.500 0.000
Mg2 0.500 0.000 0.000
Ir1 0.000 0.000 0.000
Ba1 0.500 0.500 0.500

Calculated values
The formation energy comes out at -250 meV/atom. Its space-group type is No. 123. As for the raw total energy: -3.787 eV per atom.